[1]
This record from Alexandria describes an optimized crystal structure of GaCoGe3. The functional is GGA-PBE.

Values from the calculation:
formation enthalpy at 0 K: 1120.5 meV/atom
V: 115.8 Å³ per cell
distance to the lowest polymorph of the same formula: 926 meV/atom

Cell: 4.874 4.874 4.874 Å, 90.00 90.00 90.00°
Space group Pm-3m (No. 221)
Symmetry-distinct sites (fractional):
Ga1 0.000 0.000 0.000
Co1 0.500 0.500 0.500
Ge1 0.000 0.000 0.500

=====

[2]
This record from Alexandria describes an optimized crystal structure of NaPaPt2. The functional is GGA-PBE.

Values from the calculation:
formation enthalpy at 0 K: -609.6 meV/atom
V: 320.0 Å³ per cell
distance to the lowest polymorph of the same formula: 38 meV/atom

Cell: 6.840 6.840 6.840 Å, 90.00 90.00 90.00°
Space group Fm-3m (No. 225)
Symmetry-distinct sites (fractional):
Na1 0.000 0.000 0.000
Pa1 0.000 0.000 0.500
Pt1 0.250 0.250 0.250

=====

[3]
This record from Alexandria describes an optimized crystal structure of Er4B3SbRh12. The functional is GGA-PBE.

Values from the calculation:
V: 655.1 Å³ per cell
uncorrected energy: -7.1383 eV/atom

Cell: 8.685 8.685 8.685 Å, 90.00 90.00 90.00°
Space group Im-3m (No. 229)
Symmetry-distinct sites (fractional):
Er1 0.250 0.250 0.250
B1 0.000 0.000 0.500
Sb1 0.000 0.000 0.000
Rh1 0.000 0.000 0.277
Rh2 0.000 0.250 0.500

=====

[4]
This record from Alexandria describes an optimized crystal structure of Ca4Si3SbPd12. The functional is GGA-PBE.

Values from the calculation:
V: 836.1 Å³ per cell
uncorrected energy: -5.0421 eV/atom

Cell: 9.421 9.421 9.421 Å, 90.00 90.00 90.00°
Space group Im-3m (No. 229)
Symmetry-distinct sites (fractional):
Ca1 0.250 0.250 0.250
Si1 0.000 0.000 0.500
Sb1 0.000 0.000 0.000
Pd1 0.000 0.000 0.265
Pd2 0.000 0.250 0.500

=====

[5]
This record from Alexandria describes an optimized crystal structure of BaNa2Si2. The functional is GGA-PBE.

Values from the calculation:
V: 316.0 Å³ per cell
distance to the lowest polymorph of the same formula: 189 meV/atom

Cell: 8.052 8.052 4.874 Å, 90.00 90.00 90.00°
Space group P4/mbm (No. 127)
Symmetry-distinct sites (fractional):
Ba1 0.000 0.000 0.000
Na1 0.154 0.346 0.500
Si1 0.099 0.599 0.000

=====

[6]
This record from Alexandria describes an optimized crystal structure of HoPa2H. The functional is GGA-PBE.

Values from the calculation:
V: 250.6 Å³ per cell
uncorrected energy: -6.5687 eV/atom

Cell: 3.1925 3.1925 28.3896 Å, 90.00 90.00 120.00°
Space group R-3m (No. 166, hexagonal axes)
Symmetry-distinct sites (fractional):
Ho1 0.0000 0.0000 0.0000
Pa1 0.0000 0.0000 0.1117
H1 0.0000 0.0000 0.5000